<1>
Here is an optimized crystal structure of PdN2F2 from Alexandria via LeMat-Bulk. Energies are from PBE.

The density of states at the Fermi level is 0.54 states/eV per atom.

It has space group P4/mmm (No. 123), with a = 3.5885 Å, b = 3.5885 Å, c = 4.7309 Å, α = 90.00°, β = 90.00° and γ = 90.00°. The inequivalent atoms are Pd at (0.0000, 0.0000, 0.0000), N at (0.0000, 0.5000, 0.5000), F at (0.5000, 0.5000, 0.0000) and F at (0.5000, 0.5000, 0.5000).



<2>
Here is an optimized crystal structure of PdN2F2 from Alexandria via LeMat-Bulk. Energies are from PBE.

The density of states at the Fermi level is 0.31 states/eV per atom.

It has space group P4/mmm (No. 123), with a = 4.1326 Å, b = 4.1326 Å, c = 4.0077 Å, α = 90.00°, β = 90.00° and γ = 90.00°. The inequivalent atoms are Pd at (0.0000, 0.0000, 0.0000), N at (0.0000, 0.0000, 0.5000), N at (0.5000, 0.5000, 0.5000) and F at (0.0000, 0.5000, 0.0000).



<3>
Here is an optimized crystal structure of PdN2F2 from Alexandria via LeMat-Bulk. Energies are from PBE.

It has space group P-1 (No. 2), with a = 3.1019 Å, b = 4.2884 Å, c = 8.1853 Å, α = 75.03°, β = 84.16° and γ = 68.99°. The inequivalent atoms are Pd at (0.0000, 0.0000, 0.0000), N at (0.0509, 0.8989, 0.4636) and F at (0.3736, 0.1970, 0.1083).



Which structure is the most stable? The one labeled <3>.



<1>
Here is an optimized crystal structure of Pd2NF from Alexandria via LeMat-Bulk. Energies are from PBE.

The density of states at the Fermi level is 0.46 states/eV per atom.

It has space group Fm-3m (No. 225), with a = 5.6694 Å, b = 5.6694 Å, c = 5.6694 Å, α = 90.00°, β = 90.00° and γ = 90.00°. The inequivalent atoms are Pd at (0.2500, 0.2500, 0.2500), N at (0.0000, 0.0000, 0.0000) and F at (0.0000, 0.0000, 0.5000).



<2>
Here is an optimized crystal structure of Pd2NF from Alexandria via LeMat-Bulk. Energies are from PBE.

The density of states at the Fermi level is 0.22 states/eV per atom.

It has space group I-42d (No. 122), with a = 5.5251 Å, b = 5.5251 Å, c = 7.6196 Å, α = 90.00°, β = 90.00° and γ = 90.00°. The inequivalent atoms are Pd at (0.1795, 0.2500, 0.1250), N at (0.0000, 0.0000, 0.0000) and F at (0.0000, 0.0000, 0.5000).



Which structure is the most stable? The one labeled <2>.



<1>
Here is an optimized crystal structure of PdPtNF2 from Alexandria via LeMat-Bulk. Energies are from PBE.

The density of states at the Fermi level is 1.27 states/eV per atom.

It has space group P4/mmm (No. 123), with a = 4.4335 Å, b = 4.4335 Å, c = 3.7026 Å, α = 90.00°, β = 90.00° and γ = 90.00°. The inequivalent atoms are Pd at (0.0000, 0.0000, 0.0000), Pt at (0.5000, 0.5000, 0.5000), N at (0.5000, 0.5000, 0.0000) and F at (0.0000, 0.5000, 0.5000).



<2>
Here is an optimized crystal structure of PdPtNF2 from Alexandria via LeMat-Bulk. Energies are from PBE.

The density of states at the Fermi level is 1.28 states/eV per atom.

It has space group P4/mmm (No. 123), with a = 4.2621 Å, b = 4.2621 Å, c = 3.7944 Å, α = 90.00°, β = 90.00° and γ = 90.00°. The inequivalent atoms are Pd at (0.0000, 0.0000, 0.0000), Pt at (0.5000, 0.5000, 0.5000), N at (0.0000, 0.0000, 0.5000) and F at (0.0000, 0.5000, 0.0000).



Which structure is the most stable? The one labeled <1>.



<1>
Here is an optimized crystal structure of PdS2NF from Alexandria via LeMat-Bulk. Energies are from PBE.

The density of states at the Fermi level is 0.69 states/eV per atom.

It has space group P4/mmm (No. 123), with a = 4.9466 Å, b = 4.9466 Å, c = 3.7158 Å, α = 90.00°, β = 90.00° and γ = 90.00°. The inequivalent atoms are Pd at (0.0000, 0.0000, 0.0000), S at (0.0000, 0.5000, 0.0000), N at (0.0000, 0.0000, 0.5000) and F at (0.5000, 0.5000, 0.5000).



<2>
Here is an optimized crystal structure of PdS2NF from Alexandria via LeMat-Bulk. Energies are from PBE.

The density of states at the Fermi level is 0.52 states/eV per atom.

It has space group P4/mmm (No. 123), with a = 4.4791 Å, b = 4.4791 Å, c = 3.7345 Å, α = 90.00°, β = 90.00° and γ = 90.00°. The inequivalent atoms are Pd at (0.0000, 0.0000, 0.0000), S at (0.0000, 0.5000, 0.5000), N at (0.5000, 0.5000, 0.0000) and F at (0.5000, 0.5000, 0.5000).



Which structure is the most stable? The one labeled <1>.